CsSrCrCl6: optimized geometry, PBE. Values from VASP.

## Properties
Calculated volume = 35.791 Å³/atom
Crystal system = trigonal
DFT total energy = -4.354 eV per atom
Formation energy without anion corrections = -15.94 eV/f.u.

```
&SYSTEM
  ibrav = 0, nat = 9, ntyp = 4
/
ATOMIC_SPECIES
Cs 132.91 Cs.upf
Sr 87.62 Sr.upf
Cr 52.00 Cr.upf
Cl 35.45 Cl.upf
ATOMIC_POSITIONS angstrom
Cs 0.000 0.000 0.000
Sr 3.513 2.028 3.766
Cr 0.000 4.057 3.766
Cl -1.007 2.418 2.363
Cl -1.923 4.005 5.170
Cl 1.007 2.418 5.170
Cl -0.916 5.749 2.363
Cl 1.923 4.005 2.363
Cl 0.916 5.749 5.170
CELL_PARAMETERS angstrom
7.027 0.000 0.000
-3.513 6.085 0.000
0.000 0.000 7.533
```